# 1
First-principles (PBE-GGA) data for Hg3Mo after structural relaxation, as listed in the Alexandria database.

The structure in POSCAR format:
```
Hg3Mo
1.0
4.3015 0.0000 0.0000
0.0000 4.3015 0.0000
0.0000 0.0000 4.3015
Hg Mo
3 1
direct
0.0000 0.0000 0.0000 Hg
0.0000 0.5000 0.5000 Hg
0.5000 0.0000 0.5000 Hg
0.5000 0.5000 0.0000 Mo
```

## Properties
The total magnetic moment comes out at 0.53 μB per formula unit. As for the space-group type: Pm-3m (221). The relative energy among the computed polymorphs comes out at 244.8 meV/atom. As for the raw total energy: -9.5 eV per formula unit. The calculated formation energy comes out at 553 meV per atom.

# 2
First-principles (PBE-GGA) data for Hg2Mo after structural relaxation, as listed in the Alexandria database.

The structure in POSCAR format:
```
Hg2Mo
1.0
5.1933 -2.5916 0.0056
5.1933 2.5916 0.0056
3.8954 0.0000 4.3026
Hg Mo
4 2
direct
0.1739 0.8261 0.5000 Hg
0.5000 0.1739 0.8261 Hg
0.8261 0.5000 0.1739 Hg
0.0000 0.0000 0.0000 Hg
0.3309 0.3309 0.3309 Mo
0.6691 0.6691 0.6691 Mo
```

## Properties
The total magnetic moment comes out at 0.00 μB per formula unit. As for the space-group type: R32 (155). The relative energy among the computed polymorphs comes out at 279.5 meV/atom. As for the raw total energy: -9.8 eV per formula unit. The calculated formation energy comes out at 552 meV per atom.

# 3
First-principles (PBE-GGA) data for Hg2Mo after structural relaxation, as listed in the Alexandria database.

The structure in POSCAR format:
```
Hg2Mo
1.0
5.8328 0.0000 0.0000
2.9164 5.0513 0.0000
0.0000 0.0000 9.1535
Mo Hg
4 8
direct
0.6667 0.6667 0.1312 Mo
0.6667 0.6667 0.3688 Mo
0.3333 0.3333 0.6312 Mo
0.3333 0.3333 0.8688 Mo
0.0000 0.0000 0.0000 Hg
0.0000 0.0000 0.5000 Hg
0.8264 0.3471 0.7500 Hg
0.3471 0.8264 0.7500 Hg
0.1736 0.1736 0.2500 Hg
0.8264 0.8264 0.7500 Hg
0.6529 0.1736 0.2500 Hg
0.1736 0.6529 0.2500 Hg
```

## Properties
The total magnetic moment comes out at 0.00 μB per formula unit. As for the space-group type: P6_3/mmc (194). The relative energy among the computed polymorphs comes out at 544.2 meV/atom. As for the raw total energy: -9.0 eV per formula unit. The calculated formation energy comes out at 817 meV per atom.

# 4
First-principles (PBE-GGA) data for HgMo after structural relaxation, as listed in the Alexandria database.

The structure in POSCAR format:
```
HgMo
1.0
2.8099 0.0000 0.0000
0.0000 2.8099 0.0000
0.0000 0.0000 9.5160
Hg Mo
2 2
direct
0.2500 0.2500 0.6446 Hg
0.7500 0.7500 0.3554 Hg
0.2500 0.2500 0.1138 Mo
0.7500 0.7500 0.8862 Mo
```

## Properties
The total magnetic moment comes out at 0.00 μB per formula unit. As for the space-group type: P4/nmm (129). The relative energy among the computed polymorphs comes out at 135.9 meV/atom. As for the raw total energy: -10.0 eV per formula unit. The calculated formation energy comes out at 555 meV per atom.

# 5
First-principles (PBE-GGA) data for HgMo after structural relaxation, as listed in the Alexandria database.

The structure in POSCAR format:
```
HgMo
1.0
-6.0559 2.4854 5.7499
1.3643 -7.2822 4.5848
3.1280 2.0911 2.3906
Hg Mo
8 8
direct
0.1827 0.1454 0.0000 Hg
0.6827 0.3546 0.5000 Hg
0.3173 0.6454 0.5000 Hg
0.8173 0.8546 0.0000 Hg
0.3546 0.3173 0.5000 Hg
0.8546 0.1827 0.0000 Hg
0.1454 0.8173 0.0000 Hg
0.6454 0.6827 0.5000 Hg
0.4722 0.8660 0.0000 Mo
0.9722 0.6340 0.5000 Mo
0.0278 0.3660 0.5000 Mo
0.5278 0.1340 0.0000 Mo
0.6340 0.0278 0.5000 Mo
0.1340 0.4722 0.0000 Mo
0.8660 0.5278 0.0000 Mo
0.3660 0.9722 0.5000 Mo
```

## Properties
The total magnetic moment comes out at 0.00 μB per formula unit. As for the space-group type: P4/mnc (128). The relative energy among the computed polymorphs comes out at 148.2 meV/atom. As for the raw total energy: -10.0 eV per formula unit. The calculated formation energy comes out at 567 meV per atom.

# 6
First-principles (PBE-GGA) data for Hg2Mo after structural relaxation, as listed in the Alexandria database.

The structure in POSCAR format:
```
Hg2Mo
1.0
7.5994 0.0000 0.0000
0.0000 7.5994 0.0000
0.0000 0.0000 2.7099
Hg Mo
4 2
direct
0.2626 0.2626 0.0000 Hg
0.7626 0.2374 0.5000 Hg
0.2374 0.7626 0.5000 Hg
0.7374 0.7374 0.0000 Hg
0.0000 0.0000 0.0000 Mo
0.5000 0.5000 0.5000 Mo
```

## Properties
The total magnetic moment comes out at 0.98 μB per formula unit. As for the space-group type: P4_2/mnm (136). The relative energy among the computed polymorphs comes out at 528.2 meV/atom. As for the raw total energy: -9.0 eV per formula unit. The calculated formation energy comes out at 801 meV per atom.